Record 1
# ZnReTc2

Crystalline ZnReTc2 at its relaxed geometry (PBE, the Alexandria database).

The structure belongs to space group I-42d (No. 122); the cell edges are 7.201, 7.201 and 5.226 Å and the angles 90.00°, 90.00° and 90.00°. Symmetry generates all atoms from Zn at (0.000, 0.000, 0.000), Re at (0.000, 0.000, 0.500) and Tc at (0.205, 0.250, 0.625).

***

Record 2
# ZnRe2Tc

Crystalline ZnRe2Tc at its relaxed geometry (PBE, the Alexandria database).

The structure belongs to space group I-4m2 (No. 119); the cell edges are 3.878, 3.878 and 7.777 Å and the angles 90.00°, 90.00° and 90.00°. Symmetry generates all atoms from Zn at (0.000, 0.000, 0.000), Re at (0.000, 0.000, 0.500), Re at (0.000, 0.500, 0.750) and Tc at (0.000, 0.500, 0.250).

***

We obtain size of the total moment values of 0.01; 0.00 μB per formula unit for the records listed above, in that order.
We obtain E_form values of 0.74; 0.25 eV/atom for the records listed above, in that order.